# TaTlS2

A geometry-optimized TaTlS2 structure (GGA-PBE, Alexandria via LeMat-Bulk).

a b c (Å): 5.9923 5.7679 13.8206
angles (deg): 90.00 115.56 90.00
With the nearest neighbours (Å) after each atom.
Space group P2_1/c (No. 14)
Symmetry-distinct sites (fractional):
1 Ta 0.2500 0.9999 0.0000 x4  4 S 2.38
2 Tl 0.2481 0.2450 0.7480 x4  8 S 3.38-3.55, 4 Ta 3.73-3.76
3 S 0.0994 0.7356 0.5999 x4  2 Ta 2.38
4 S 0.4015 0.7377 0.4011 x4  2 Ta 2.38

- Energy relative to the elements, uncorrected: -0.54 eV/atom

---

# MgScMo2

A geometry-optimized MgScMo2 structure (GGA-PBE, Alexandria via LeMat-Bulk).

a b c (Å): 3.2507 3.2507 7.1023
angles (deg): 90.00 90.00 90.00
With the nearest neighbours (Å) after each atom.
Space group P4mm (No. 99)
Symmetry-distinct sites (fractional):
1 Mg 0.0000 0.0000 0.0000 x1  5 Mo 2.91-3.11, 4 Sc 3.20, 4 Mg 3.25
2 Sc 0.5000 0.5000 0.6872 x1  5 Mo 2.90-3.09, 4 Mg 3.20, 4 Sc 3.25
3 Mo 0.0000 0.0000 0.4374 x1  4 Mo 2.65, 4 Sc 2.90
4 Mo 0.5000 0.5000 0.2522 x1  4 Mo 2.65, 4 Mg 2.91

- Formation enthalpy at 0 K: 6 kJ/mol of atoms

---

# NpSi2H2Pt6

A geometry-optimized NpSi2H2Pt6 structure (GGA-PBE, Alexandria via LeMat-Bulk).

a b c (Å): 5.5884 5.6411 6.7928
angles (deg): 67.37 65.98 60.33
With the nearest neighbours (Å) after each atom.
Space group P-1 (No. 2)
Symmetry-distinct sites (fractional):
1 Np 0.0000 0.0000 0.0000 x1  2 H 2.75
2 Si 0.3402 0.3197 0.9970 x2  6 Pt 2.40-2.42
3 H 0.2813 0.8252 0.6100 x2  3 Pt 1.86
4 Pt 0.0980 0.5848 0.7071 x2  1 H 1.86
5 Pt 0.3920 0.4168 0.2909 x2  1 H 1.86
6 Pt 0.3919 0.9175 0.3016 x2  1 H 1.86

---

For the records above, the corresponding raw total energy values read -6.16 -7.34 -6.49 eV/atom.
For the records above, the corresponding magnetic moment values read 0.00 0.00 0.38 μB/atom.